La2Ni9Pd (PBE-GGA, optimized geometry); E = -68.7 eV for the cell shown; SG = R-3m, No. 166; crystal system = trigonal
1.0
-2.351 4.076 1.594
-4.946 0.314 -0.356
-3.178 -1.866 7.828
Ni La Pd
9 2 1
Direct
0.920 0.421 0.237
0.421 0.920 0.237
0.667 0.667 0.998
0.080 0.579 0.763
0.421 0.421 0.237
0.579 0.080 0.763
0.579 0.579 0.763
0.333 0.333 0.002
0.500 0.500 0.500
0.131 0.131 0.606
0.869 0.869 0.394
0.000 0.000 0.000

FeCoI2N (PBE-GGA, optimized geometry); uncorrected formation energy = 0.75 eV/atom; SG = P4/mmm, No. 123; crystal system = tetragonal
1.0
-0.416 0.762 -5.249
-1.287 -5.123 -0.641
-3.352 0.795 0.381
I Co Fe N
2 1 1 1
Direct
0.000 0.500 0.000
0.500 0.000 0.000
0.500 0.500 0.500
0.000 0.000 0.000
0.000 0.000 0.500

CeIrOs (PBE-GGA, optimized geometry); E = -26.7 eV for the cell shown; SG = P-6m2, No. 187; crystal system = hexagonal
1.0
-2.582 -3.317 -0.806
2.467 -0.008 3.498
-2.968 1.801 2.097
Ce Os Ir
1 1 1
Direct
0.667 0.333 0.500
0.333 0.667 0.000
0.000 0.000 0.000

Number 1: size of the total moment 3.0 μB per formula unit. Number 2: size of the total moment 2.3 μB per formula unit. Number 3: size of the total moment 0.0 μB per formula unit.